Here is MnSNCl2 after structural relaxation from the Alexandria database. Energies are from PBE.

Calculated values
Raw formation energy, eV/f.u.: 6.44
Total magnetic moment, μB per atom: 0.000
Calculated total energy, eV/atom: -3.774

Cell lengths 4.555, 4.555, 4.286 Å; angles 90.00, 90.00, 90.00 degrees
Fractional coordinates of all 5 atoms:
Mn (0.000, 0.000, 0.000)
S (0.000, 0.000, 0.500)
N (0.500, 0.500, 0.500)
Cl (0.000, 0.500, 0.000)
Cl (0.500, 0.000, 0.000)